Entry 1:
# Tm5PuAs6

A geometry-optimized Tm5PuAs6 structure (PBE, Alexandria).

Cell lengths 7.058, 12.222, 7.058 Å; angles 90.00, 109.48, 90.00 degrees
Space group C2/m (No. 12)
One atom of each set of equivalent atoms:
Tm (0.000, 0.000, 0.000)
Tm (0.000, 0.167, 0.500)
Tm (0.000, 0.334, 0.000)
Pu (0.000, 0.500, 0.500)
As (0.249, 0.000, 0.750)
As (0.249, 0.167, 0.249)

Values from the calculation:
calculated total energy: -6.79 eV/atom
calculated formation energy: -1.41 eV per atom

=====

Entry 2:
# HfMnCo2H

A geometry-optimized HfMnCo2H structure (PBE, Alexandria).

Cell lengths 3.890, 3.890, 3.647 Å; angles 90.00, 90.00, 90.00 degrees
Space group P4/mmm (No. 123)
One atom of each set of equivalent atoms:
Hf (0.000, 0.000, 0.000)
Mn (0.500, 0.500, 0.000)
Co (0.000, 0.500, 0.500)
H (0.500, 0.500, 0.500)

Values from the calculation:
calculated total energy: -7.52 eV/atom
E above lowest polymorph: 0.0 meV/atom

=====

Entry 3:
# MgBr

A geometry-optimized MgBr structure (PBE, Alexandria).

Cell lengths 8.856, 8.856, 8.856 Å; angles 90.00, 90.00, 90.00 degrees
Space group I-43m (No. 217)
One atom of each set of equivalent atoms:
Mg (0.123, 0.123, 0.123)
Br (0.209, 0.209, 0.791)

Values from the calculation:
calculated total energy: -2.26 eV/atom

=====

Entry 4:
# PmNdGa3

A geometry-optimized PmNdGa3 structure (PBE, Alexandria).

Cell lengths 4.334, 26.236, 4.236 Å; angles 90.00, 90.00, 90.00 degrees
Space group Cmcm (No. 63)
One atom of each set of equivalent atoms:
Pm (0.000, 0.072, 0.250)
Nd (0.000, 0.203, 0.750)
Ga (0.000, 0.328, 0.750)
Ga (0.000, 0.383, 0.250)
Ga (0.000, 0.477, 0.250)

Values from the calculation:
calculated total energy: -4.37 eV/atom
E above lowest polymorph: 6.3 meV/atom
calculated formation energy: -0.65 eV per atom

=====

Entry 5:
# ErNi5As3

A geometry-optimized ErNi5As3 structure (PBE, Alexandria).

Cell lengths 3.666, 12.210, 11.774 Å; angles 90.00, 90.00, 90.00 degrees
Space group Cmcm (No. 63)
One atom of each set of equivalent atoms:
Er (0.000, 0.149, 0.250)
Ni (0.000, 0.000, 0.000)
Ni (0.000, 0.197, 0.570)
Ni (0.000, 0.452, 0.145)
As (0.000, 0.120, 0.750)
As (0.000, 0.380, 0.547)

Values from the calculation:
calculated total energy: -5.78 eV/atom
calculated formation energy: -0.51 eV per atom

=====

Entry 6:
# NiW2Au

A geometry-optimized NiW2Au structure (PBE, Alexandria).

Cell lengths 6.276, 6.276, 6.276 Å; angles 90.00, 90.00, 90.00 degrees
Space group Fm-3m (No. 225)
One atom of each set of equivalent atoms:
Ni (0.000, 0.000, 0.000)
W (0.250, 0.250, 0.250)
Au (0.000, 0.000, 0.500)

Values from the calculation:
calculated total energy: -8.05 eV/atom
E above lowest polymorph: 522.1 meV/atom
calculated formation energy: 0.69 eV per atom

=====

Entry 7:
# Ga3FeH

A geometry-optimized Ga3FeH structure (PBE, Alexandria).

Cell lengths 4.561, 4.561, 4.561 Å; angles 90.00, 90.00, 90.00 degrees
Space group Pm-3m (No. 221)
One atom of each set of equivalent atoms:
Ga (0.000, 0.000, 0.500)
Fe (0.000, 0.000, 0.000)
H (0.500, 0.500, 0.500)

Values from the calculation:
calculated total energy: -3.77 eV/atom

=====

Entry 8:
# Zn3FeC

A geometry-optimized Zn3FeC structure (PBE, Alexandria).

Cell lengths 4.092, 4.092, 4.092 Å; angles 90.00, 90.00, 90.00 degrees
Space group Pm-3m (No. 221)
One atom of each set of equivalent atoms:
Zn (0.000, 0.000, 0.500)
Fe (0.500, 0.500, 0.500)
C (0.000, 0.000, 0.000)

Values from the calculation:
calculated total energy: -3.43 eV/atom
E above lowest polymorph: 0.0 meV/atom
calculated formation energy: 0.87 eV per atom

=====

Entry 9:
# Be2CdBi

A geometry-optimized Be2CdBi structure (PBE, Alexandria).

Cell lengths 6.705, 6.705, 6.705 Å; angles 90.00, 90.00, 90.00 degrees
Space group Fm-3m (No. 225)
One atom of each set of equivalent atoms:
Be (0.250, 0.250, 0.250)
Cd (0.000, 0.000, 0.000)
Bi (0.000, 0.000, 0.500)

Values from the calculation:
calculated total energy: -2.31 eV/atom
E above lowest polymorph: 204.9 meV/atom
calculated formation energy: 0.76 eV per atom

=====

Entry 10:
# Er2TiN

A geometry-optimized Er2TiN structure (PBE, Alexandria).

Cell lengths 3.3265, 3.3265, 25.8901 Å; angles 90.00, 90.00, 120.00 degrees
Space group R-3m (No. 166, hexagonal axes)
One atom of each set of equivalent atoms:
Er (0.0000, 0.0000, 0.1145)
Ti (0.0000, 0.0000, 0.0000)
N (0.0000, 0.0000, 0.5000)

Values from the calculation:
calculated total energy: -6.81 eV/atom

=====

Entry 11:
# Nd7Sn3

A geometry-optimized Nd7Sn3 structure (PBE, Alexandria).

Cell lengths 18.356, 5.034, 6.930 Å; angles 90.00, 106.24, 90.00 degrees
Space group C2/m (No. 12)
One atom of each set of equivalent atoms:
Nd (0.000, 0.000, 0.000)
Nd (0.087, 0.500, 0.319)
Nd (0.118, 0.500, 0.841)
Nd (0.205, 0.000, 0.639)
Sn (0.000, 0.000, 0.500)
Sn (0.188, 0.000, 0.144)

Values from the calculation:
calculated total energy: -5.04 eV/atom
calculated formation energy: -0.50 eV per atom

=====

Entry 12:
# CaY2Mg

A geometry-optimized CaY2Mg structure (PBE, Alexandria).

Cell lengths 13.222, 3.774, 5.622 Å; angles 90.00, 114.97, 90.00 degrees
Space group C2/m (No. 12)
One atom of each set of equivalent atoms:
Ca (0.000, 0.000, 0.000)
Y (0.223, 0.000, 0.723)
Mg (0.000, 0.500, 0.500)

Values from the calculation:
calculated total energy: -4.11 eV/atom
calculated formation energy: 0.02 eV per atom

=====

Entry 13:
# CaGdNi

A geometry-optimized CaGdNi structure (PBE, Alexandria).

Cell lengths 3.467, 3.467, 12.927 Å; angles 90.00, 90.00, 90.00 degrees
Space group I4mm (No. 107)
One atom of each set of equivalent atoms:
Ca (0.000, 0.000, 0.000)
Gd (0.000, 0.000, 0.256)
Ni (0.000, 0.000, 0.645)

Values from the calculation:
calculated total energy: -7.43 eV/atom
calculated formation energy: -0.14 eV per atom

=====

Entry 14:
# TaCoW2

A geometry-optimized TaCoW2 structure (PBE, Alexandria).

Cell lengths 3.933, 3.933, 7.977 Å; angles 90.00, 90.00, 90.00 degrees
Space group I-4m2 (No. 119)
One atom of each set of equivalent atoms:
Ta (0.000, 0.000, 0.000)
Co (0.000, 0.500, 0.250)
W (0.000, 0.000, 0.500)
W (0.000, 0.500, 0.750)

Values from the calculation:
calculated total energy: -10.98 eV/atom
E above lowest polymorph: 214.9 meV/atom
calculated formation energy: 0.24 eV per atom

=====

Entry 15:
# Pm4Tl3Rh

A geometry-optimized Pm4Tl3Rh structure (PBE, Alexandria).

Cell lengths 3.633, 3.633, 16.567 Å; angles 90.00, 90.00, 90.00 degrees
Space group P4/mmm (No. 123)
One atom of each set of equivalent atoms:
Pm (0.000, 0.000, 0.101)
Pm (0.000, 0.000, 0.368)
Tl (0.500, 0.500, 0.238)
Tl (0.500, 0.500, 0.500)
Rh (0.500, 0.500, 0.000)

Values from the calculation:
calculated total energy: -4.64 eV/atom
E above lowest polymorph: 0.0 meV/atom
calculated formation energy: -0.46 eV per atom

=====

Entry 16:
# TlOsCl

A geometry-optimized TlOsCl structure (PBE, Alexandria).

Cell lengths 2.995, 2.995, 15.085 Å; angles 90.00, 90.00, 90.00 degrees
Space group I4mm (No. 107)
One atom of each set of equivalent atoms:
Tl (0.000, 0.000, 0.000)
Os (0.000, 0.000, 0.655)
Cl (0.000, 0.000, 0.263)

Values from the calculation:
calculated total energy: -4.18 eV/atom
E above lowest polymorph: 199.6 meV/atom

=====

Entry 17:
# ZnSiN2

A geometry-optimized ZnSiN2 structure (PBE, Alexandria).

Cell lengths 3.0726, 3.0726, 5.2710 Å; angles 90.00, 90.00, 120.00 degrees
Space group P3m1 (No. 156)
One atom of each set of equivalent atoms:
Zn (0.0000, 0.0000, 0.0000)
Si (0.6667, 0.3333, 0.5278)
N (0.0000, 0.0000, 0.4026)
N (0.6667, 0.3333, 0.8422)

Values from the calculation:
calculated total energy: -6.29 eV/atom

=====

Entry 18:
# RhWAu2

A geometry-optimized RhWAu2 structure (PBE, Alexandria).

Cell lengths 2.8556, 2.8556, 27.9297 Å; angles 90.00, 90.00, 120.00 degrees
Space group R-3m (No. 166, hexagonal axes)
One atom of each set of equivalent atoms:
Rh (0.0000, 0.0000, 0.0000)
W (0.0000, 0.0000, 0.5000)
Au (0.0000, 0.0000, 0.2501)

Values from the calculation:
calculated total energy: -6.41 eV/atom
E above lowest polymorph: 260.1 meV/atom
calculated formation energy: 0.31 eV per atom

=====

Entry 19:
# PmAl6Au12

A geometry-optimized PmAl6Au12 structure (PBE, Alexandria).

Cell lengths 11.9647, 11.9647, 8.7458 Å; angles 90.00, 90.00, 120.00 degrees
Space group R-3m (No. 166, hexagonal axes)
One atom of each set of equivalent atoms:
Pm (0.0000, 0.0000, 0.0000)
Al (0.0575, 0.5288, 0.2489)
Au (0.0000, 0.3808, 0.5000)
Au (0.0829, 0.1657, 0.2990)

Values from the calculation:
calculated total energy: -3.86 eV/atom
E above lowest polymorph: 0.0 meV/atom
calculated formation energy: -0.36 eV per atom

=====

Entry 20:
# NdSmSn

A geometry-optimized NdSmSn structure (PBE, Alexandria).

Cell lengths 7.461, 7.461, 7.461 Å; angles 90.00, 90.00, 90.00 degrees
Space group F-43m (No. 216)
One atom of each set of equivalent atoms:
Nd (0.000, 0.000, 0.000)
Sm (0.000, 0.000, 0.500)
Sn (0.250, 0.250, 0.250)

Values from the calculation:
calculated total energy: -4.93 eV/atom
E above lowest polymorph: 165.3 meV/atom
calculated formation energy: -0.43 eV per atom